(1)
The following is a PBE-GGA calculation of an optimized crystal structure of FeCu3, from Alexandria.

Output
Symmetry ... No. 71
Formation energy ... 174 meV/atom
DOS(E_F) ... 3.168 states/eV per cell

Cell lengths 4.9752, 4.9752, 4.9752 Å; angles 149.49, 128.80, 60.78 degrees
Positions (direct):
Fe 0.0000 0.0000 0.0000
Cu 0.2528 0.7528 0.5000
Cu 0.5000 0.5000 0.0000
Cu 0.7472 0.2472 0.5000

---

(2)
The following is a PBE-GGA calculation of an optimized crystal structure of ScZnCu, from Alexandria.

Output
Symmetry ... No. 216
Formation energy ... 281 meV/atom
DOS(E_F) ... 2.125 states/eV per cell

Cell lengths 4.4100, 4.4100, 4.4100 Å; angles 60.00, 60.00, 60.00 degrees
Positions (direct):
Sc 0.0000 0.0000 0.0000
Zn 0.2500 0.2500 0.2500
Cu 0.7500 0.7500 0.7500

---

(3)
The following is a PBE-GGA calculation of an optimized crystal structure of Sr2CdTc2, from Alexandria.

Output
Symmetry ... No. 139
Formation energy ... 330 meV/atom
DOS(E_F) ... 6.433 states/eV per cell

Cell lengths 10.9017, 10.9017, 10.9017 Å; angles 161.15, 161.15, 26.78 degrees
Positions (direct):
Sr 0.1189 0.1189 0.0000
Sr 0.8811 0.8811 0.0000
Cd 0.5000 0.5000 0.0000
Tc 0.2500 0.7500 0.5000
Tc 0.7500 0.2500 0.5000

---

(4)
The following is a PBE-GGA calculation of an optimized crystal structure of Tm3Zn8Ir, from Alexandria.

Output
Symmetry ... No. 160
Formation energy ... -330 meV/atom
DOS(E_F) ... 6.098 states/eV per cell

Cell lengths 9.2677, 9.2677, 9.2677 Å; angles 32.75, 32.75, 32.75 degrees
Positions (direct):
Tm 0.0000 0.0000 0.0000
Tm 0.1258 0.1258 0.1258
Tm 0.6100 0.6100 0.6100
Zn 0.0557 0.0557 0.5574
Zn 0.0557 0.5574 0.0557
Zn 0.0652 0.5594 0.5594
Zn 0.3075 0.3075 0.3075
Zn 0.5574 0.0557 0.0557
Zn 0.5594 0.0652 0.5594
Zn 0.5594 0.5594 0.0652
Zn 0.8094 0.8094 0.8094
Ir 0.5023 0.5023 0.5023

---

(5)
The following is a PBE-GGA calculation of an optimized crystal structure of AlCuAs2, from Alexandria.

Output
Symmetry ... No. 10
Formation energy ... 72 meV/atom
DOS(E_F) ... 1.650 states/eV per cell

Cell lengths 4.2708, 3.6338, 4.9297 Å; angles 90.00, 105.53, 90.00 degrees
Positions (direct):
Al 0.0000 0.0000 0.0000
Cu 0.5000 0.0000 0.5000
As 0.2996 0.5000 0.7632
As 0.7004 0.5000 0.2368

---

(6)
The following is a PBE-GGA calculation of an optimized crystal structure of PuHfTcPt, from Alexandria.

Output
Symmetry ... No. 216
Formation energy ... -449 meV/atom
DOS(E_F) ... 6.648 states/eV per cell

Cell lengths 4.7520, 4.7520, 4.7520 Å; angles 60.00, 60.00, 60.00 degrees
Positions (direct):
Pu 0.0000 0.0000 0.0000
Hf 0.5000 0.5000 0.5000
Tc 0.2500 0.2500 0.2500
Pt 0.7500 0.7500 0.7500

---

(7)
The following is a PBE-GGA calculation of an optimized crystal structure of Nb2CoRe, from Alexandria.

Output
Symmetry ... No. 122
Formation energy ... 502 meV/atom
DOS(E_F) ... 8.698 states/eV per cell

Cell lengths 5.6267, 5.6267, 5.6267 Å; angles 103.11, 103.11, 123.12 degrees
Positions (direct):
Nb 0.1050 0.1250 0.4800
Nb 0.3750 0.8950 0.0200
Nb 0.6450 0.6250 0.5200
Nb 0.8750 0.3550 0.9800
Co 0.0000 0.0000 0.0000
Co 0.7500 0.2500 0.5000
Re 0.2500 0.7500 0.5000
Re 0.5000 0.5000 0.0000

---

(8)
The following is a PBE-GGA calculation of an optimized crystal structure of Ac5RhSe5, from Alexandria.

Output
Symmetry ... No. 12
Uncorrected formation energy ... -1.678 eV/atom
DOS(E_F) ... 7.381 states/eV per cell

Cell lengths 7.8085, 7.8085, 8.9214 Å; angles 105.95, 105.95, 47.58 degrees
Positions (direct):
Ac 0.0000 0.0000 0.0000
Ac 0.3394 0.3394 0.6713
Ac 0.3539 0.3539 0.1635
Ac 0.6461 0.6461 0.8365
Ac 0.6606 0.6606 0.3287
Rh 0.5000 0.5000 0.0000
Se 0.1755 0.1755 0.8477
Se 0.1857 0.1857 0.3284
Se 0.5000 0.5000 0.5000
Se 0.8143 0.8143 0.6716
Se 0.8245 0.8245 0.1523

---

(9)
The following is a PBE-GGA calculation of an optimized crystal structure of CaNiAgIr2, from Alexandria.

Output
Symmetry ... No. 123
Formation energy ... 1265 meV/atom
DOS(E_F) ... 8.988 states/eV per cell

Cell lengths 4.9211, 4.9211, 4.6156 Å; angles 90.00, 90.00, 90.00 degrees
Positions (direct):
Ca 0.0000 0.0000 0.0000
Ni 0.5000 0.5000 0.0000
Ag 0.5000 0.5000 0.5000
Ir 0.0000 0.5000 0.5000
Ir 0.5000 0.0000 0.5000

---

(10)
The following is a PBE-GGA calculation of an optimized crystal structure of Dy2Ga4Ir5, from Alexandria.

Output
Symmetry ... No. 69
Formation energy ... -612 meV/atom
DOS(E_F) ... 5.628 states/eV per cell

Cell lengths 8.9074, 8.0539, 5.5217 Å; angles 79.63, 62.80, 37.57 degrees
Positions (direct):
Dy 0.1180 0.1180 0.8820
Dy 0.8820 0.8820 0.1180
Ga 0.2128 0.5247 0.4753
Ga 0.4753 0.7872 0.2128
Ga 0.5247 0.2128 0.7872
Ga 0.7872 0.4753 0.5247
Ir 0.0000 0.0000 0.5000
Ir 0.2500 0.2500 0.2500
Ir 0.5000 0.5000 0.0000
Ir 0.5000 0.5000 0.5000
Ir 0.7500 0.7500 0.7500

---

(11)
The following is a PBE-GGA calculation of an optimized crystal structure of Re2TcIr2, from Alexandria.

Output
Symmetry ... No. 127
Formation energy ... 150 meV/atom
DOS(E_F) ... 8.785 states/eV per cell

Cell lengths 7.5117, 7.5117, 2.7382 Å; angles 90.00, 90.00, 90.00 degrees
Positions (direct):
Re 0.1727 0.3273 0.0000
Re 0.3273 0.8273 0.0000
Re 0.6727 0.1727 0.0000
Re 0.8273 0.6727 0.0000
Tc 0.0000 0.0000 0.5000
Tc 0.5000 0.5000 0.5000
Ir 0.1245 0.6245 0.5000
Ir 0.3755 0.1245 0.5000
Ir 0.6245 0.8755 0.5000
Ir 0.8755 0.3755 0.5000

---

(12)
The following is a PBE-GGA calculation of an optimized crystal structure of NaCdBi3, from Alexandria.

Output
Symmetry ... No. 221
Formation energy ... 588 meV/atom
DOS(E_F) ... 2.616 states/eV per cell

Cell lengths 5.5430, 5.5430, 5.5430 Å; angles 90.00, 90.00, 90.00 degrees
Positions (direct):
Na 0.0000 0.0000 0.0000
Cd 0.5000 0.5000 0.5000
Bi 0.0000 0.0000 0.5000
Bi 0.0000 0.5000 0.0000
Bi 0.5000 0.0000 0.0000

---

(13)
The following is a PBE-GGA calculation of an optimized crystal structure of Pm2TmCd2Ag2, from Alexandria.

Output
Symmetry ... No. 166
Formation energy ... -175 meV/atom
DOS(E_F) ... 5.854 states/eV per cell

Cell lengths 9.2096, 9.2096, 9.2096 Å; angles 30.71, 30.71, 30.71 degrees
Positions (direct):
Pm 0.1234 0.1234 0.1234
Pm 0.8766 0.8766 0.8766
Tm 0.0000 0.0000 0.0000
Cd 0.2675 0.2675 0.2675
Cd 0.7325 0.7325 0.7325
Ag 0.3917 0.3917 0.3917
Ag 0.6083 0.6083 0.6083